Th2Ga | meta-GGA SCAN | single point on PBEsol structure Values from VASP.

Values from the calculation:
formation enthalpy at 0 K	-0.400	eV/atom
D(E_F)	0.82	states/eV/atom
SG	I4/mcm, No. 140

Structure (Quantum ESPRESSO input):
```
&SYSTEM
  ibrav = 0, nat = 6, ntyp = 2
/
ATOMIC_SPECIES
Ga 69.72 Ga.upf
Th 232.04 Th.upf
ATOMIC_POSITIONS crystal
Ga 0.7500 0.0000 0.0000
Ga 0.2500 0.0000 0.0000
Th 0.6586 0.5000 0.1827
Th 0.8414 0.8173 0.5000
Th 0.1586 0.1827 0.5000
Th 0.3414 0.5000 0.8173
CELL_PARAMETERS angstrom
5.7647 0.0000 0.0000
2.8823 5.2550 0.0000
2.8823 0.0000 5.2550
```

---

Tc3MoOs | meta-GGA SCAN | single point on PBEsol structure Values from VASP.

Values from the calculation:
formation enthalpy at 0 K	1.910	eV/atom
D(E_F)	0.88	states/eV/atom
SG	Pm-3m, No. 221

Structure (Quantum ESPRESSO input):
```
&SYSTEM
  ibrav = 0, nat = 5, ntyp = 3
/
ATOMIC_SPECIES
Tc 98.00 Tc.upf
Mo 95.94 Mo.upf
Os 190.23 Os.upf
ATOMIC_POSITIONS crystal
Tc 0.0000 0.5000 0.0000
Tc 0.5000 0.0000 0.0000
Tc 0.0000 0.0000 0.5000
Mo 0.5000 0.5000 0.5000
Os 0.0000 0.0000 0.0000
CELL_PARAMETERS angstrom
-3.6276 -1.1825 2.5197
-0.8032 -3.5184 -2.8075
2.6649 -2.6701 2.5837
```

---

HfBOs2S | meta-GGA SCAN | single point on PBEsol structure Values from VASP.

Values from the calculation:
formation energy (no corrections)	314	meV/atom
D(E_F)	0.47	states/eV/atom
SG	P4/mmm, No. 123

Structure (Quantum ESPRESSO input):
```
&SYSTEM
  ibrav = 0, nat = 5, ntyp = 4
/
ATOMIC_SPECIES
B 10.81 B.upf
Hf 178.49 Hf.upf
Os 190.23 Os.upf
S 32.06 S.upf
ATOMIC_POSITIONS crystal
B 0.0000 0.0000 0.0000
Hf 0.0000 0.0000 0.5000
Os 0.5000 0.0000 0.0000
Os 0.0000 0.5000 0.0000
S 0.5000 0.5000 0.5000
CELL_PARAMETERS angstrom
-2.8099 2.2250 1.7407
1.4825 -0.9286 3.5800
2.8160 3.7147 -0.2026
```

---

FeHgRh2 | meta-GGA SCAN | single point on PBEsol structure Values from VASP.

Values from the calculation:
formation enthalpy at 0 K	0.138	eV/atom
D(E_F)	0.78	states/eV/atom
SG	P4mm, No. 99

Structure (Quantum ESPRESSO input):
```
&SYSTEM
  ibrav = 0, nat = 4, ntyp = 3
/
ATOMIC_SPECIES
Rh 102.91 Rh.upf
Fe 55.84 Fe.upf
Hg 200.59 Hg.upf
ATOMIC_POSITIONS crystal
Rh 0.0000 0.0000 0.0216
Rh 0.5000 0.5000 0.2577
Fe 0.0000 0.0000 0.4764
Hg 0.5000 0.5000 0.7444
CELL_PARAMETERS angstrom
-2.1671 0.8311 -1.4956
-1.7097 -0.9581 1.9450
0.1831 6.7521 3.4870
```

---

LiVOF3 | meta-GGA SCAN | single point on PBEsol structure Values from VASP.

Values from the calculation:
formation energy (no corrections)	-2990	meV/atom
energy relative to the lowest polymorph listed for this composition	0.040	eV/atom
SG	P2_12_12_1, No. 19

Structure (Quantum ESPRESSO input):
```
&SYSTEM
  ibrav = 0, nat = 24, ntyp = 4
/
ATOMIC_SPECIES
O 16.00 O.upf
F 19.00 F.upf
Li 6.94 Li.upf
V 50.94 V.upf
ATOMIC_POSITIONS crystal
O 0.3312 0.6619 0.4729
O 0.8312 0.8381 0.5271
O 0.6688 0.1619 0.0271
O 0.1688 0.3381 0.9729
F 0.4589 0.6866 0.7470
F 0.0712 0.0002 0.7966
F 0.1838 0.1472 0.5058
F 0.8162 0.6472 0.9942
F 0.5411 0.1866 0.7530
F 0.3162 0.8528 0.0058
F 0.5712 0.4998 0.2034
F 0.6838 0.3528 0.4942
F 0.0411 0.3134 0.2470
F 0.9589 0.8134 0.2530
F 0.4288 0.9998 0.2966
F 0.9288 0.5002 0.7034
Li 0.8967 0.1796 0.6534
Li 0.3967 0.3204 0.3466
Li 0.1033 0.6796 0.8466
Li 0.6033 0.8204 0.1534
V 0.3551 0.1200 0.9129
V 0.1449 0.8800 0.4129
V 0.8551 0.3800 0.0871
V 0.6449 0.6200 0.5871
CELL_PARAMETERS angstrom
-2.9090 -3.4885 -1.8754
2.5879 0.7138 -5.3420
6.4086 -6.5431 2.2303
```

---

Mg7Sc6 | meta-GGA SCAN | single point on PBEsol structure Values from VASP.

Values from the calculation:
formation enthalpy at 0 K	0.019	eV/atom
D(E_F)	1.16	states/eV/atom
SG	R-3m, No. 166

Structure (Quantum ESPRESSO input):
```
&SYSTEM
  ibrav = 0, nat = 13, ntyp = 2
/
ATOMIC_SPECIES
Mg 24.30 Mg.upf
Sc 44.96 Sc.upf
ATOMIC_POSITIONS crystal
Mg 0.9144 0.4078 0.2699
Mg 0.0856 0.5922 0.7301
Mg 0.4078 0.4078 0.2699
Mg 0.5922 0.0856 0.7301
Mg 0.5922 0.5922 0.7301
Mg 0.4078 0.9144 0.2699
Mg 0.5000 0.5000 0.5000
Sc 0.8490 0.8490 0.4528
Sc 0.1510 0.1510 0.5472
Sc 0.3343 0.3343 0.9971
Sc 0.9545 0.9545 0.1366
Sc 0.6657 0.6657 0.0029
Sc 0.0455 0.0455 0.8634
CELL_PARAMETERS angstrom
-5.2177 -2.4172 0.0605
-2.4106 -1.7604 -4.9154
1.8400 -10.8222 -0.3904
```

---

URu3 | meta-GGA SCAN | single point on PBEsol structure Values from VASP.

Values from the calculation:
formation enthalpy at 0 K	-0.304	eV/atom
D(E_F)	0.86	states/eV/atom
SG	Pm-3m, No. 221

Structure (Quantum ESPRESSO input):
```
&SYSTEM
  ibrav = 0, nat = 4, ntyp = 2
/
ATOMIC_SPECIES
Ru 101.07 Ru.upf
U 238.03 U.upf
ATOMIC_POSITIONS crystal
Ru 0.0000 0.5000 0.5000
Ru 0.5000 0.5000 0.0000
Ru 0.5000 0.0000 0.5000
U 0.0000 0.0000 0.0000
CELL_PARAMETERS angstrom
-2.7512 0.5486 2.7638
-2.8177 -0.5620 -2.6932
0.0192 -3.8590 0.7851
```

---

La2MnSe | meta-GGA SCAN | single point on PBEsol structure Values from VASP.

Values from the calculation:
formation energy (no corrections)	-812	meV/atom
D(E_F)	0.82	states/eV/atom
SG	P4/mmm, No. 123

Structure (Quantum ESPRESSO input):
```
&SYSTEM
  ibrav = 0, nat = 4, ntyp = 3
/
ATOMIC_SPECIES
Se 78.96 Se.upf
La 138.91 La.upf
Mn 54.94 Mn.upf
ATOMIC_POSITIONS crystal
Se 0.5000 0.0000 0.0000
La 0.0000 0.5000 0.0000
La 0.0000 0.0000 0.5000
Mn 0.5000 0.5000 0.5000
CELL_PARAMETERS angstrom
3.5364 0.0000 0.0000
0.0000 5.2342 0.0000
0.0000 0.0000 5.2342
```

---

LiFe2Br | meta-GGA SCAN | single point on PBEsol structure Values from VASP.

Values from the calculation:
formation energy (no corrections)	91	meV/atom
energy relative to the lowest polymorph listed for this composition	0.000	eV/atom
D(E_F)	0.21	states/eV/atom
SG	R3m, No. 160

Structure (Quantum ESPRESSO input):
```
&SYSTEM
  ibrav = 0, nat = 4, ntyp = 3
/
ATOMIC_SPECIES
Li 6.94 Li.upf
Br 79.90 Br.upf
Fe 55.84 Fe.upf
ATOMIC_POSITIONS crystal
Li 0.5038 0.5027 0.4897
Br 0.2514 0.2500 0.2473
Fe 0.7397 0.7410 0.7796
Fe 0.0051 0.0063 0.9834
CELL_PARAMETERS angstrom
3.1612 0.0000 0.0000
1.5806 2.7399 -0.0012
1.5806 0.9231 7.3283
```

---

Y2Cu2Ge | meta-GGA SCAN | single point on PBEsol structure Values from VASP.

Values from the calculation:
formation enthalpy at 0 K	-0.217	eV/atom
D(E_F)	0.54	states/eV/atom
SG	I4/mmm, No. 139

Structure (Quantum ESPRESSO input):
```
&SYSTEM
  ibrav = 0, nat = 5, ntyp = 3
/
ATOMIC_SPECIES
Cu 63.55 Cu.upf
Y 88.91 Y.upf
Ge 72.64 Ge.upf
ATOMIC_POSITIONS crystal
Cu 0.0000 0.6572 0.3428
Cu 0.0000 0.3428 0.6572
Y 0.5000 0.2500 0.2500
Y 0.5000 0.7500 0.7500
Ge 0.0000 0.0000 0.0000
CELL_PARAMETERS angstrom
5.1677 0.0010 -0.0014
-2.3381 4.6085 0.0014
2.3381 1.7380 4.2682
```

---

CaBeRh2 | meta-GGA SCAN | single point on PBEsol structure Values from VASP.

Values from the calculation:
formation enthalpy at 0 K	-0.116	eV/atom
D(E_F)	0.85	states/eV/atom
SG	Imm2, No. 44

Structure (Quantum ESPRESSO input):
```
&SYSTEM
  ibrav = 0, nat = 4, ntyp = 3
/
ATOMIC_SPECIES
Rh 102.91 Rh.upf
Ca 40.08 Ca.upf
Be 9.01 Be.upf
ATOMIC_POSITIONS crystal
Rh 0.9819 0.9819 0.9638
Rh 0.2295 0.7295 0.4590
Ca 0.7564 0.2564 0.5128
Be 0.5322 0.5322 0.0645
CELL_PARAMETERS angstrom
2.9547 0.0000 0.0000
0.0000 4.3495 0.0000
-1.4773 -2.1747 4.5694
```

---

Rh2CI | meta-GGA SCAN | single point on PBEsol structure Values from VASP.

Values from the calculation:
formation energy (no corrections)	1491	meV/atom
D(E_F)	0.97	states/eV/atom
SG	Fm-3m, No. 225

Structure (Quantum ESPRESSO input):
```
&SYSTEM
  ibrav = 0, nat = 4, ntyp = 3
/
ATOMIC_SPECIES
Rh 102.91 Rh.upf
I 126.90 I.upf
C 12.01 C.upf
ATOMIC_POSITIONS crystal
Rh 0.2500 0.2500 0.2500
Rh 0.7500 0.7500 0.7500
I 0.5000 0.5000 0.5000
C 0.0000 0.0000 0.0000
CELL_PARAMETERS angstrom
-2.2481 2.2697 -2.9139
-4.3074 0.2339 0.2971
-1.8895 3.7169 1.1448
```

---

Spin magnetization
In order: 0.00, 1.07, 1.31, 2.49, 4.00, 0.62, 0.00, 3.12, 5.88, 0.07, 0.00, 0.00
Unit: Bohr magnetons per cell
V
In order: 26.5, 19.1, 14.8, 14.5, 11.5, 23.1, 15.3, 24.2, 15.9, 20.3, 14.7, 14.3
Unit: Å³ per atom